! La2TbPrTe5 | the Alexandria database | PBE | optimized geometry; values from VASP
! DFT total energy = -43.80 eV/cell
! space group = P4/mmm, No. 123
! ΔE_f (raw) = -0.981 eV/atom
! crystal system = tetragonal
! density of states at the Fermi level = 4.710 states/eV/cell
&SYSTEM
  ibrav = 0, nat = 9, ntyp = 4
/
ATOMIC_SPECIES
La 138.91 La.upf
Tb 158.93 Tb.upf
Pr 140.91 Pr.upf
Te 127.60 Te.upf
ATOMIC_POSITIONS angstrom
La 0.000 0.000 1.987
La 0.000 0.000 9.876
Tb 2.765 2.765 0.000
Pr 2.765 2.765 5.932
Te 0.000 0.000 5.932
Te 0.000 2.765 0.000
Te 2.765 0.000 0.000
Te 2.765 2.765 2.966
Te 2.765 2.765 8.897
CELL_PARAMETERS angstrom
5.531 0.000 0.000
0.000 5.531 0.000
0.000 0.000 11.863

=====

! LaTb3Pr3Te8 | the Alexandria database | PBE | optimized geometry; values from VASP
! DFT total energy = -79.98 eV/cell
! space group = R-3m, No. 166
! ΔE_f (raw) = -1.446 eV/atom
! crystal system = trigonal
! density of states at the Fermi level = 7.541 states/eV/cell
&SYSTEM
  ibrav = 0, nat = 15, ntyp = 4
/
ATOMIC_SPECIES
La 138.91 La.upf
Tb 158.93 Tb.upf
Pr 140.91 Pr.upf
Te 127.60 Te.upf
ATOMIC_POSITIONS angstrom
La 0.000 0.000 0.000
Tb -2.220 -1.282 7.279
Tb -2.220 1.282 14.557
Tb 0.000 2.563 7.279
Pr -4.439 0.000 10.918
Pr -2.220 1.282 3.639
Pr 2.220 1.282 3.639
Te 0.000 0.000 5.548
Te 0.000 -2.418 9.110
Te -2.094 1.209 9.110
Te -2.094 -1.209 12.726
Te 2.094 1.209 9.110
Te 2.094 -1.209 12.726
Te 0.000 2.418 12.726
Te 0.000 0.000 16.288
CELL_PARAMETERS angstrom
4.439 2.563 7.279
-4.439 2.563 7.279
0.000 -5.126 7.279

=====

! LaTb3PrTh | the Alexandria database | PBE | optimized geometry; values from VASP
! DFT total energy = -59.49 eV/cell
! E_form = 0.21 eV per atom
! space group = C2/m, No. 12
! crystal system = monoclinic
! density of states at the Fermi level = 17.066 states/eV/cell
&SYSTEM
  ibrav = 0, nat = 12, ntyp = 4
/
ATOMIC_SPECIES
La 138.91 La.upf
Tb 158.93 Tb.upf
Pr 140.91 Pr.upf
Th 232.04 Th.upf
ATOMIC_POSITIONS angstrom
La 2.901 0.000 3.251
La 17.087 0.000 3.877
Tb 0.444 0.000 5.351
Tb 5.566 0.000 5.336
Tb 6.881 0.000 1.763
Tb 13.106 0.000 5.364
Tb 14.421 0.000 1.791
Tb 19.544 0.000 1.777
Pr 2.947 0.000 0.243
Pr 17.041 0.000 6.885
Th 8.921 0.000 5.449
Th 11.066 0.000 1.679
CELL_PARAMETERS angstrom
10.010 -2.837 0.000
10.010 2.837 0.000
-0.032 0.000 7.128

=====

! La2TbPr4Th | the Alexandria database | PBE | optimized geometry; values from VASP
! DFT total energy = -40.70 eV/cell
! E_form = 0.04 eV per atom
! space group = P4/mmm, No. 123
! crystal system = tetragonal
! density of states at the Fermi level = 13.354 states/eV/cell
&SYSTEM
  ibrav = 0, nat = 8, ntyp = 4
/
ATOMIC_SPECIES
La 138.91 La.upf
Tb 158.93 Tb.upf
Pr 140.91 Pr.upf
Th 232.04 Th.upf
ATOMIC_POSITIONS angstrom
La 0.000 0.000 0.000
La 2.605 2.605 5.206
Tb 0.000 0.000 5.206
Pr 0.000 2.605 2.553
Pr 0.000 2.605 7.859
Pr 2.605 0.000 2.553
Pr 2.605 0.000 7.859
Th 2.605 2.605 0.000
CELL_PARAMETERS angstrom
5.210 0.000 0.000
0.000 5.210 0.000
0.000 0.000 10.412

=====

! La4TbPr2Th | the Alexandria database | PBE | optimized geometry; values from VASP
! DFT total energy = -41.01 eV/cell
! E_form = 0.04 eV per atom
! space group = Pmmm, No. 47
! crystal system = orthorhombic
! density of states at the Fermi level = 14.081 states/eV/cell
&SYSTEM
  ibrav = 0, nat = 8, ntyp = 4
/
ATOMIC_SPECIES
La 138.91 La.upf
Tb 158.93 Tb.upf
Pr 140.91 Pr.upf
Th 232.04 Th.upf
ATOMIC_POSITIONS angstrom
La 0.000 0.000 2.555
La 0.000 0.000 7.855
La 2.603 2.610 2.560
La 2.603 2.610 7.850
Tb 0.000 2.610 5.205
Pr 0.000 2.610 0.000
Pr 2.603 0.000 5.205
Th 2.603 0.000 0.000
CELL_PARAMETERS angstrom
5.207 0.000 0.000
0.000 5.221 0.000
0.000 0.000 10.410

=====

! La2Tb4PrTh | the Alexandria database | PBE | optimized geometry; values from VASP
! DFT total energy = -40.41 eV/cell
! E_form = 0.02 eV per atom
! space group = P2/m, No. 10
! crystal system = monoclinic
! density of states at the Fermi level = 10.913 states/eV/cell
&SYSTEM
  ibrav = 0, nat = 8, ntyp = 4
/
ATOMIC_SPECIES
La 138.91 La.upf
Tb 158.93 Tb.upf
Pr 140.91 Pr.upf
Th 232.04 Th.upf
ATOMIC_POSITIONS angstrom
La 0.000 0.000 0.000
La -1.044 1.819 5.839
Tb 0.049 0.000 8.737
Tb 1.085 1.819 2.999
Tb 3.145 1.819 8.679
Tb 4.181 0.000 2.941
Pr 3.158 1.819 0.000
Th 2.115 0.000 5.839
CELL_PARAMETERS angstrom
6.316 0.000 0.000
0.000 3.639 0.000
-2.087 0.000 11.678

=====

! LaTb2Pr4Th | the Alexandria database | PBE | optimized geometry; values from VASP
! DFT total energy = -40.43 eV/cell
! E_form = 0.04 eV per atom
! space group = P2/m, No. 10
! crystal system = monoclinic
! density of states at the Fermi level = 13.103 states/eV/cell
&SYSTEM
  ibrav = 0, nat = 8, ntyp = 4
/
ATOMIC_SPECIES
La 138.91 La.upf
Tb 158.93 Tb.upf
Pr 140.91 Pr.upf
Th 232.04 Th.upf
ATOMIC_POSITIONS angstrom
La 0.000 0.000 0.000
Tb 2.096 0.000 6.022
Tb 3.147 1.832 0.000
Pr -0.037 0.000 8.975
Pr 1.042 1.832 3.062
Pr 3.149 1.832 8.982
Pr 4.228 0.000 3.068
Th -1.051 1.832 6.022
CELL_PARAMETERS angstrom
6.294 0.000 0.000
0.000 3.665 0.000
-2.103 0.000 12.043

=====

! LaTbPrTh2 | the Alexandria database | PBE | optimized geometry; values from VASP
! DFT total energy = -54.88 eV/cell
! E_form = 0.35 eV per atom
! space group = Cmcm, No. 63
! crystal system = orthorhombic
! density of states at the Fermi level = 16.302 states/eV/cell
&SYSTEM
  ibrav = 0, nat = 10, ntyp = 4
/
ATOMIC_SPECIES
La 138.91 La.upf
Tb 158.93 Tb.upf
Pr 140.91 Pr.upf
Th 232.04 Th.upf
ATOMIC_POSITIONS angstrom
La 3.373 4.327 5.080
La 3.373 -4.327 1.693
Tb 3.373 5.547 1.693
Tb 3.373 -5.547 5.080
Pr 3.373 2.398 1.693
Pr 3.373 -2.398 5.080
Th 1.656 0.000 0.000
Th 1.656 0.000 3.387
Th 5.090 0.000 0.000
Th 5.090 0.000 3.387
CELL_PARAMETERS angstrom
3.373 -7.953 0.000
3.373 7.953 0.000
0.000 0.000 6.773

=====

! LaTb2PrTl4 | the Alexandria database | PBE | optimized geometry; values from VASP
! DFT total energy = -31.45 eV/cell
! E_form = -0.38 eV per atom
! space group = R-3m, No. 166
! crystal system = trigonal
! density of states at the Fermi level = 6.756 states/eV/cell
&SYSTEM
  ibrav = 0, nat = 8, ntyp = 4
/
ATOMIC_SPECIES
La 138.91 La.upf
Tb 158.93 Tb.upf
Pr 140.91 Pr.upf
Tl 204.38 Tl.upf
ATOMIC_POSITIONS angstrom
La 0.000 0.000 0.000
Tb 0.000 0.000 6.738
Tb 0.000 0.000 20.224
Pr 0.000 0.000 13.481
Tl 0.000 0.000 3.383
Tl 0.000 0.000 10.125
Tl 0.000 0.000 16.838
Tl 0.000 0.000 23.579
CELL_PARAMETERS angstrom
2.747 1.586 8.987
-2.747 1.586 8.987
0.000 -3.172 8.987

=====

! La2Tb3Pr6Tl | the Alexandria database | PBE | optimized geometry; values from VASP
! DFT total energy = -55.25 eV/cell
! E_form = -0.04 eV per atom
! space group = C2/m, No. 12
! crystal system = monoclinic
! density of states at the Fermi level = 15.414 states/eV/cell
&SYSTEM
  ibrav = 0, nat = 12, ntyp = 4
/
ATOMIC_SPECIES
La 138.91 La.upf
Tb 158.93 Tb.upf
Pr 140.91 Pr.upf
Tl 204.38 Tl.upf
ATOMIC_POSITIONS angstrom
La 3.138 3.635 0.000
La 3.138 -3.635 0.000
Tb -1.057 0.000 5.950
Tb 2.081 1.823 5.950
Tb 2.081 -1.823 5.950
Pr 0.012 1.770 8.902
Pr 1.088 0.000 3.012
Pr 0.012 -1.770 8.902
Pr 4.149 1.770 2.999
Pr 3.074 0.000 8.889
Pr 4.149 -1.770 2.999
Tl 3.138 0.000 0.000
CELL_PARAMETERS angstrom
3.138 -5.444 0.000
3.138 5.444 0.000
-2.114 0.000 11.901

=====

> What is the formula in the fourth record?

La2TbPr4Th

=====

> Number 1 is which compound?

La2TbPrTe5